Model one:
Below is a geometry-optimized Ac8PrNd2 structure, with properties calculated at the GGA-PBE level.

ρ   7.2 Mg/m³
Magnetic moment   0.00 μB/cell

Unit cell a=9.207 b=9.207 c=6.290 alpha=99.89 beta=99.89 gamma=87.43
Atoms (fractional coordinates):
Ac1 0.082 0.082 0.293
Ac2 0.153 0.642 0.204
Ac3 0.233 0.233 0.886
Ac4 0.358 0.847 0.796
Ac5 0.642 0.153 0.204
Ac6 0.767 0.767 0.114
Ac7 0.847 0.358 0.796
Ac8 0.918 0.918 0.707
Pr1 0.500 0.500 0.000
Nd1 0.369 0.369 0.478
Nd2 0.631 0.631 0.522

---

Model two:
Below is a geometry-optimized Ac8PrNd2 structure, with properties calculated at the GGA-PBE level.

ρ   8.0 Mg/m³
Magnetic moment   0.00 μB/cell

Unit cell a=10.306 b=10.306 c=8.750 alpha=104.93 beta=104.93 gamma=31.38
Atoms (fractional coordinates):
Ac1 0.047 0.047 0.229
Ac2 0.138 0.138 0.689
Ac3 0.318 0.318 0.586
Ac4 0.406 0.406 0.046
Ac5 0.594 0.594 0.954
Ac6 0.682 0.682 0.414
Ac7 0.862 0.862 0.311
Ac8 0.953 0.953 0.771
Pr1 0.500 0.500 0.500
Nd1 0.227 0.227 0.134
Nd2 0.773 0.773 0.866

---

The least stable of them is model one.

---

Model one:
Below is a geometry-optimized AcPr4Nd5 structure, with properties calculated at the GGA-PBE level.

ρ   6.7 Mg/m³
Magnetic moment   0.00 μB/cell

Unit cell a=8.916 b=8.916 c=8.916 alpha=146.23 beta=101.57 gamma=88.18
Atoms (fractional coordinates):
Ac1 0.000 0.000 0.000
Pr1 0.268 0.268 0.000
Pr2 0.323 0.000 0.323
Pr3 0.677 0.000 0.677
Pr4 0.732 0.732 0.000
Nd1 0.033 0.345 0.688
Nd2 0.344 0.655 0.688
Nd3 0.500 0.500 0.000
Nd4 0.656 0.345 0.312
Nd5 0.967 0.655 0.312

---

Model two:
Below is a geometry-optimized AcPr4Nd5 structure, with properties calculated at the GGA-PBE level.

ρ   6.8 Mg/m³
Magnetic moment   0.00 μB/cell

Unit cell a=3.747 b=3.747 c=26.175 alpha=90.00 beta=90.00 gamma=90.00
Atoms (fractional coordinates):
Ac1 0.000 0.000 0.000
Pr1 0.000 0.000 0.204
Pr2 0.000 0.000 0.401
Pr3 0.000 0.000 0.599
Pr4 0.000 0.000 0.796
Nd1 0.500 0.500 0.106
Nd2 0.500 0.500 0.302
Nd3 0.500 0.500 0.500
Nd4 0.500 0.500 0.698
Nd5 0.500 0.500 0.894

---

The least stable of them is model one.

---

Model one:
Below is a geometry-optimized Ac2Pr2Nd3 structure, with properties calculated at the GGA-PBE level.

ρ   7.2 Mg/m³
Magnetic moment   0.00 μB/cell

Unit cell a=5.950 b=3.641 c=12.707 alpha=90.00 beta=103.45 gamma=90.00
Atoms (fractional coordinates):
Ac1 0.077 0.000 0.155
Ac2 0.923 0.000 0.845
Pr1 0.355 0.500 0.708
Pr2 0.645 0.500 0.292
Nd1 0.220 0.000 0.440
Nd2 0.500 0.000 0.000
Nd3 0.780 0.000 0.560

---

Model two:
Below is a geometry-optimized Ac2Pr2Nd3 structure, with properties calculated at the GGA-PBE level.

ρ   7.2 Mg/m³
Magnetic moment   0.00 μB/cell

Unit cell a=9.354 b=9.354 c=9.070 alpha=118.24 beta=118.24 gamma=22.93
Atoms (fractional coordinates):
Ac1 0.146 0.146 0.328
Ac2 0.854 0.854 0.672
Pr1 0.434 0.434 0.094
Pr2 0.566 0.566 0.906
Nd1 0.000 0.000 0.500
Nd2 0.211 0.211 0.808
Nd3 0.789 0.789 0.192

---

The least stable of them is model one.